# 1
Crystalline NaInCuHg at its relaxed geometry, computed with GGA-PBE.

Values from the calculation:
The value obtained for the formation energy is 0.039 eV/atom.

abc: 4.914 4.914 4.914
angles: 60.00 60.00 60.00
Fractional coordinates of all 4 atoms:
Na 0.000 0.000 0.000
In 0.500 0.500 0.500
Cu 0.750 0.750 0.750
Hg 0.250 0.250 0.250

# 2
Crystalline ScPtOF2 at its relaxed geometry, computed with GGA-PBE.

Values from the calculation:
The value obtained for the relative energy among the computed polymorphs is 0 meV per atom. For the uncorrected formation energy, the calculation gives -1.853 eV per atom.

abc: 4.034 4.034 4.241
angles: 90.00 90.00 90.00
Fractional coordinates of all 5 atoms:
Sc 0.000 0.000 0.000
Pt 0.500 0.500 0.500
O 0.000 0.000 0.500
F 0.000 0.500 0.000
F 0.500 0.000 0.000

# 3
Crystalline Cs4Sn2F at its relaxed geometry, computed with GGA-PBE.

Values from the calculation:
For the uncorrected formation energy, the calculation gives -0.744 eV per atom.

abc: 9.548 9.548 9.548
angles: 135.04 135.04 65.47
Fractional coordinates of all 7 atoms:
Cs 0.000 0.500 0.500
Cs 0.172 0.172 0.000
Cs 0.500 0.000 0.500
Cs 0.828 0.828 0.000
Sn 0.414 0.414 0.000
Sn 0.586 0.586 0.000
F 0.000 0.000 0.000

# 4
Crystalline BaAgSeN2 at its relaxed geometry, computed with GGA-PBE.

Values from the calculation:
The value obtained for the relative energy among the computed polymorphs is 715 meV per atom. For the uncorrected formation energy, the calculation gives 1.526 eV per atom.

abc: 5.171 5.171 6.516
angles: 90.00 90.00 90.00
Fractional coordinates of all 5 atoms:
Ba 0.000 0.000 0.000
Ag 0.500 0.500 0.500
Se 0.000 0.000 0.500
N 0.000 0.500 0.000
N 0.500 0.000 0.000

# 5
Crystalline ZrNp4U3S8 at its relaxed geometry, computed with GGA-PBE.

Values from the calculation:
For the uncorrected formation energy, the calculation gives -1.387 eV per atom.

abc: 7.761 7.761 7.761
angles: 59.07 59.07 59.07
Fractional coordinates of all 16 atoms:
Zr 0.000 0.000 0.000
Np 0.000 0.000 0.500
Np 0.000 0.500 0.000
Np 0.500 0.000 0.000
Np 0.500 0.500 0.500
U 0.000 0.500 0.500
U 0.500 0.000 0.500
U 0.500 0.500 0.000
S 0.246 0.246 0.753
S 0.246 0.753 0.246
S 0.247 0.754 0.754
S 0.250 0.250 0.250
S 0.750 0.750 0.750
S 0.753 0.246 0.246
S 0.754 0.247 0.754
S 0.754 0.754 0.247

# 6
Crystalline Li5Cd2GaHg2 at its relaxed geometry, computed with GGA-PBE.

Values from the calculation:
The value obtained for the formation energy is -0.205 eV/atom.

abc: 11.081 11.081 3.157
angles: 90.00 90.00 90.00
Fractional coordinates of all 20 atoms:
Li 0.000 0.500 0.000
Li 0.015 0.196 0.000
Li 0.196 0.985 0.000
Li 0.304 0.485 0.000
Li 0.485 0.696 0.000
Li 0.500 0.000 0.000
Li 0.515 0.304 0.000
Li 0.696 0.515 0.000
Li 0.804 0.015 0.000
Li 0.985 0.804 0.000
Cd 0.166 0.666 0.500
Cd 0.334 0.166 0.500
Cd 0.666 0.834 0.500
Cd 0.834 0.334 0.500
Ga 0.000 0.000 0.500
Ga 0.500 0.500 0.500
Hg 0.145 0.355 0.500
Hg 0.355 0.855 0.500
Hg 0.645 0.145 0.500
Hg 0.855 0.645 0.500

# 7
Crystalline Nd2Zn6Au3 at its relaxed geometry, computed with GGA-PBE.

Values from the calculation:
The value obtained for the formation energy is -0.412 eV/atom.

abc: 7.840 7.840 4.164
angles: 90.00 90.00 120.00
Fractional coordinates of all 11 atoms:
Nd 0.333 0.667 0.000
Nd 0.667 0.333 0.000
Zn 0.000 0.271 0.500
Zn 0.000 0.812 0.000
Zn 0.188 0.188 0.000
Zn 0.271 0.000 0.500
Zn 0.729 0.729 0.500
Zn 0.812 0.000 0.000
Au 0.000 0.605 0.500
Au 0.395 0.395 0.500
Au 0.605 0.000 0.500

# 8
Crystalline TlS2Cl2 at its relaxed geometry, computed with GGA-PBE.

Values from the calculation:
For the uncorrected formation energy, the calculation gives -0.183 eV per atom.

abc: 5.861 5.861 5.861
angles: 122.68 122.68 85.42
Fractional coordinates of all 5 atoms:
Tl 0.000 0.000 0.000
S 0.392 0.392 0.000
S 0.608 0.608 0.000
Cl 0.250 0.750 0.500
Cl 0.750 0.250 0.500

# 9
Crystalline AuCNF2 at its relaxed geometry, computed with GGA-PBE.

Values from the calculation:
The value obtained for the relative energy among the computed polymorphs is 1537 meV per atom. For the uncorrected formation energy, the calculation gives 1.690 eV per atom.

abc: 4.498 4.498 3.774
angles: 90.00 90.00 90.00
Fractional coordinates of all 5 atoms:
Au 0.000 0.000 0.000
C 0.500 0.500 0.500
N 0.000 0.000 0.500
F 0.000 0.500 0.000
F 0.500 0.000 0.000

# 10
Crystalline La12PrCo5 at its relaxed geometry, computed with GGA-PBE.

Values from the calculation:
The value obtained for the formation energy is -0.043 eV/atom.

abc: 7.165 7.165 12.882
angles: 92.97 92.97 121.54
Fractional coordinates of all 18 atoms:
La 0.000 0.000 0.000
La 0.020 0.448 0.239
La 0.265 0.265 0.503
La 0.278 0.957 0.731
La 0.323 0.704 0.985
La 0.448 0.020 0.239
La 0.567 0.903 0.506
La 0.622 0.622 0.737
La 0.704 0.323 0.985
La 0.903 0.567 0.506
La 0.913 0.913 0.278
La 0.957 0.278 0.731
Pr 0.493 0.493 0.185
Co 0.271 0.601 0.626
Co 0.601 0.271 0.626
Co 0.702 0.998 0.114
Co 0.929 0.929 0.612
Co 0.998 0.702 0.114

# 11
Crystalline NdHo5Er2 at its relaxed geometry, computed with GGA-PBE.

Values from the calculation:
The value obtained for the relative energy among the computed polymorphs is 127 meV per atom. The value obtained for the formation energy is 0.146 eV/atom.

abc: 8.588 8.588 11.404
angles: 90.03 90.03 38.18
Fractional coordinates of all 16 atoms:
Nd 0.227 0.227 0.250
Nd 0.773 0.773 0.750
Ho 0.043 0.043 0.387
Ho 0.044 0.044 0.112
Ho 0.396 0.396 0.750
Ho 0.413 0.413 0.078
Ho 0.413 0.413 0.423
Ho 0.587 0.587 0.577
Ho 0.587 0.587 0.922
Ho 0.604 0.604 0.250
Ho 0.956 0.956 0.888
Ho 0.957 0.957 0.613
Er 0.213 0.213 0.580
Er 0.213 0.213 0.920
Er 0.787 0.787 0.080
Er 0.787 0.787 0.420

# 12
Crystalline In2AsSe at its relaxed geometry, computed with GGA-PBE.

Values from the calculation:
The value obtained for the relative energy among the computed polymorphs is 40 meV per atom. For the uncorrected formation energy, the calculation gives -0.250 eV per atom.

abc: 4.541 4.541 6.313
angles: 90.00 90.00 90.00
Fractional coordinates of all 4 atoms:
In 0.000 0.500 0.239
In 0.500 0.000 0.761
As 0.500 0.500 0.000
Se 0.000 0.000 0.500